Arrangement one

A relaxed KRb2TeCl6 crystal. Source: Alexandria, functional PBE.

Properties
DOS at the Fermi energy in states/eV/cell: 7.81
M_tot in Bohr magnetons per cell: 1.0
Theoretical density in g/cm3: 2.5

Lattice parameters (Å, degrees): 8.000 8.000 8.000 118.58 118.58 92.47
Element x y z (fractional)
K 0.000 0.000 0.000
Rb 0.250 0.750 0.500
Rb 0.750 0.250 0.500
Te 0.500 0.500 0.000
Cl 0.259 0.259 0.517
Cl 0.259 0.741 0.000
Cl 0.270 0.270 0.000
Cl 0.730 0.730 0.000
Cl 0.741 0.259 0.000
Cl 0.741 0.741 0.483


Arrangement two

A relaxed KRb2TeCl6 crystal. Source: Alexandria, functional PBE.

Properties
DOS at the Fermi energy in states/eV/cell: 1.21
M_tot in Bohr magnetons per cell: 0.0
Theoretical density in g/cm3: 2.4

Lattice parameters (Å, degrees): 13.492 13.492 13.492 35.95 35.95 35.95
Element x y z (fractional)
K 0.086 0.086 0.086
K 0.914 0.914 0.914
Rb 0.237 0.237 0.237
Rb 0.362 0.362 0.362
Rb 0.638 0.638 0.638
Rb 0.763 0.763 0.763
Te 0.000 0.000 0.000
Te 0.500 0.500 0.500
Cl 0.142 0.142 0.610
Cl 0.142 0.610 0.142
Cl 0.251 0.684 0.684
Cl 0.316 0.316 0.749
Cl 0.316 0.749 0.316
Cl 0.390 0.858 0.858
Cl 0.610 0.142 0.142
Cl 0.684 0.251 0.684
Cl 0.684 0.684 0.251
Cl 0.749 0.316 0.316
Cl 0.858 0.390 0.858
Cl 0.858 0.858 0.390


Most stable: arrangement two


Arrangement one

A relaxed K2RbTmCl6 crystal. Source: Alexandria, functional PBE.

Properties
DOS at the Fermi energy in states/eV/cell: 0.00
M_tot in Bohr magnetons per cell: 0.0
Theoretical density in g/cm3: 2.6

Lattice parameters (Å, degrees): 8.085 8.085 8.085 57.26 57.26 57.26
Element x y z (fractional)
K 0.000 0.000 0.000
K 0.489 0.489 0.489
Rb 0.207 0.207 0.207
Tm 0.696 0.696 0.696
Cl 0.032 0.464 0.802
Cl 0.354 0.886 0.606
Cl 0.464 0.802 0.032
Cl 0.606 0.354 0.886
Cl 0.802 0.032 0.464
Cl 0.886 0.606 0.354


Arrangement two

A relaxed K2RbTmCl6 crystal. Source: Alexandria, functional PBE.

Properties
DOS at the Fermi energy in states/eV/cell: 0.00
M_tot in Bohr magnetons per cell: 0.0
Theoretical density in g/cm3: 2.5

Lattice parameters (Å, degrees): 8.046 8.046 8.046 60.00 60.00 60.00
Element x y z (fractional)
K 0.250 0.250 0.250
K 0.750 0.750 0.750
Rb 0.000 0.000 0.000
Tm 0.500 0.500 0.500
Cl 0.272 0.272 0.728
Cl 0.272 0.728 0.272
Cl 0.272 0.728 0.728
Cl 0.728 0.272 0.272
Cl 0.728 0.272 0.728
Cl 0.728 0.728 0.272


Most stable: arrangement one


Arrangement one

A relaxed KRb2WCl6 crystal. Source: Alexandria, functional PBE.

Properties
M_tot in Bohr magnetons per cell: 6.0
Theoretical density in g/cm3: 2.9

Lattice parameters (Å, degrees): 15.391 15.391 15.391 27.57 27.57 27.57
Element x y z (fractional)
K 0.086 0.086 0.086
K 0.914 0.914 0.914
Rb 0.191 0.191 0.191
Rb 0.358 0.358 0.358
Rb 0.642 0.642 0.642
Rb 0.809 0.809 0.809
W 0.000 0.000 0.000
W 0.500 0.500 0.500
Cl 0.125 0.125 0.652
Cl 0.125 0.652 0.125
Cl 0.219 0.689 0.689
Cl 0.311 0.311 0.781
Cl 0.311 0.781 0.311
Cl 0.348 0.875 0.875
Cl 0.652 0.125 0.125
Cl 0.689 0.219 0.689
Cl 0.689 0.689 0.219
Cl 0.781 0.311 0.311
Cl 0.875 0.348 0.875
Cl 0.875 0.875 0.348


Arrangement two

A relaxed KRb2WCl6 crystal. Source: Alexandria, functional PBE.

Properties
DOS at the Fermi energy in states/eV/cell: 0.00
M_tot in Bohr magnetons per cell: 3.0
Theoretical density in g/cm3: 3.1

Lattice parameters (Å, degrees): 7.680 7.680 7.680 60.00 60.00 60.00
Element x y z (fractional)
K 0.000 0.000 0.000
Rb 0.250 0.250 0.250
Rb 0.750 0.750 0.750
W 0.500 0.500 0.500
Cl 0.274 0.274 0.726
Cl 0.274 0.726 0.274
Cl 0.274 0.726 0.726
Cl 0.726 0.274 0.274
Cl 0.726 0.274 0.726
Cl 0.726 0.726 0.274


Most stable: arrangement one


Arrangement one

A relaxed KRe2Cl crystal. Source: Alexandria, functional PBE.

Properties
DOS at the Fermi energy in states/eV/cell: 4.08
M_tot in Bohr magnetons per cell: 1.5
Theoretical density in g/cm3: 7.6

Lattice parameters (Å, degrees): 2.788 4.598 7.613 90.00 90.00 90.00
Element x y z (fractional)
K 0.000 0.000 0.000
Re 0.000 0.500 0.500
Re 0.500 0.000 0.500
Cl 0.500 0.500 0.000


Arrangement two

A relaxed KRe2Cl crystal. Source: Alexandria, functional PBE.

Properties
DOS at the Fermi energy in states/eV/cell: 3.89
M_tot in Bohr magnetons per cell: 0.0
Theoretical density in g/cm3: 10.2

Lattice parameters (Å, degrees): 2.813 2.813 10.517 90.00 90.00 118.78
Element x y z (fractional)
K 0.000 0.000 0.000
Re 0.500 0.500 0.287
Re 0.500 0.500 0.713
Cl 0.000 0.000 0.500


Arrangement three

A relaxed KRe2Cl crystal. Source: Alexandria, functional PBE.

Properties
DOS at the Fermi energy in states/eV/cell: 3.56
M_tot in Bohr magnetons per cell: 0.0
Theoretical density in g/cm3: 9.7

Lattice parameters (Å, degrees): 2.965 2.965 9.694 90.00 90.00 116.33
Element x y z (fractional)
K 0.000 0.000 0.000
Re 0.000 0.000 0.483
Re 0.500 0.500 0.682
Cl 0.500 0.500 0.243


Arrangement four

A relaxed KRe2Cl crystal. Source: Alexandria, functional PBE.

Properties
M_tot in Bohr magnetons per cell: 0.0
Theoretical density in g/cm3: 7.3

Lattice parameters (Å, degrees): 3.690 3.690 8.679 90.00 90.00 120.00
Element x y z (fractional)
K 0.000 0.000 0.000
Re 0.333 0.667 0.345
Re 0.667 0.333 0.474
Cl 0.667 0.333 0.754


Most stable: arrangement four


Arrangement one

A relaxed KRe2Cl crystal. Source: Alexandria, functional PBE.

Properties
DOS at the Fermi energy in states/eV/cell: 2.86
M_tot in Bohr magnetons per cell: 1.2
Theoretical density in g/cm3: 6.9

Lattice parameters (Å, degrees): 8.299 8.299 8.299 154.37 154.37 36.56
Element x y z (fractional)
K 0.000 0.000 0.000
Re 0.250 0.750 0.500
Re 0.750 0.250 0.500
Cl 0.500 0.500 0.000


Arrangement two

A relaxed KRe2Cl crystal. Source: Alexandria, functional PBE.

Properties
DOS at the Fermi energy in states/eV/cell: 3.44
M_tot in Bohr magnetons per cell: 0.0
Theoretical density in g/cm3: 10.4

Lattice parameters (Å, degrees): 4.658 4.658 4.658 60.00 60.00 60.00
Element x y z (fractional)
K 0.000 0.000 0.000
Re 0.250 0.250 0.250
Re 0.500 0.500 0.500
Cl 0.750 0.750 0.750


Arrangement three

A relaxed KRe2Cl crystal. Source: Alexandria, functional PBE.

Properties
DOS at the Fermi energy in states/eV/cell: 2.51
M_tot in Bohr magnetons per cell: 0.0
Theoretical density in g/cm3: 8.9

Lattice parameters (Å, degrees): 3.107 3.107 8.674 90.00 90.00 90.00
Element x y z (fractional)
K 0.000 0.000 0.000
Re 0.000 0.000 0.499
Re 0.500 0.500 0.351
Cl 0.500 0.500 0.766


Arrangement four

A relaxed KRe2Cl crystal. Source: Alexandria, functional PBE.

Properties
DOS at the Fermi energy in states/eV/cell: 3.89
M_tot in Bohr magnetons per cell: 0.0
Theoretical density in g/cm3: 10.3

Lattice parameters (Å, degrees): 10.358 10.358 10.358 15.86 15.86 15.86
Element x y z (fractional)
K 0.000 0.000 0.000
Re 0.235 0.235 0.235
Re 0.765 0.765 0.765
Cl 0.500 0.500 0.500


Most stable: arrangement three


Arrangement one

A relaxed KRe2Cl crystal. Source: Alexandria, functional PBE.

Properties
DOS at the Fermi energy in states/eV/cell: 3.65
M_tot in Bohr magnetons per cell: 1.3
Theoretical density in g/cm3: 7.0

Lattice parameters (Å, degrees): 3.683 3.683 7.789 90.00 90.00 90.00
Element x y z (fractional)
K 0.000 0.000 0.000
Re 0.000 0.500 0.500
Re 0.500 0.000 0.500
Cl 0.500 0.500 0.000


Arrangement two

A relaxed KRe2Cl crystal. Source: Alexandria, functional PBE.

Properties
DOS at the Fermi energy in states/eV/cell: 3.23
M_tot in Bohr magnetons per cell: 0.0
Theoretical density in g/cm3: 8.5

Lattice parameters (Å, degrees): 3.243 3.243 8.256 90.00 90.00 90.00
Element x y z (fractional)
K 0.000 0.000 0.000
Re 0.500 0.500 0.353
Re 0.500 0.500 0.647
Cl 0.000 0.000 0.500


Arrangement three

A relaxed KRe2Cl crystal. Source: Alexandria, functional PBE.

Properties
DOS at the Fermi energy in states/eV/cell: 7.75
M_tot in Bohr magnetons per cell: 0.0
Theoretical density in g/cm3: 10.4

Lattice parameters (Å, degrees): 4.652 4.652 4.652 60.00 60.00 60.00
Element x y z (fractional)
K 0.000 0.000 0.000
Re 0.250 0.250 0.250
Re 0.750 0.750 0.750
Cl 0.500 0.500 0.500


Arrangement four

A relaxed KRe2Cl crystal. Source: Alexandria, functional PBE.

Properties
DOS at the Fermi energy in states/eV/cell: 3.08
M_tot in Bohr magnetons per cell: 0.4
Theoretical density in g/cm3: 7.6

Lattice parameters (Å, degrees): 7.789 7.789 2.568 90.00 90.00 141.44
Element x y z (fractional)
K 0.000 0.000 0.000
Re 0.000 0.500 0.500
Re 0.500 0.000 0.500
Cl 0.500 0.500 0.000


Most stable: arrangement one


Arrangement one

A relaxed KRe3Cl crystal. Source: Alexandria, functional PBE.

Properties
DOS at the Fermi energy in states/eV/cell: 8.71
M_tot in Bohr magnetons per cell: 4.2
Theoretical density in g/cm3: 9.9

Lattice parameters (Å, degrees): 4.740 4.740 4.740 90.00 90.00 90.00
Element x y z (fractional)
K 0.000 0.000 0.000
Re 0.000 0.000 0.500
Re 0.000 0.500 0.000
Re 0.500 0.000 0.000
Cl 0.500 0.500 0.500


Arrangement two

A relaxed KRe3Cl crystal. Source: Alexandria, functional PBE.

Properties
DOS at the Fermi energy in states/eV/cell: 4.38
M_tot in Bohr magnetons per cell: 1.8
Theoretical density in g/cm3: 11.4

Lattice parameters (Å, degrees): 4.524 4.524 4.524 90.00 90.00 90.00
Element x y z (fractional)
K 0.000 0.000 0.000
Re 0.000 0.500 0.500
Re 0.500 0.000 0.500
Re 0.500 0.500 0.000
Cl 0.500 0.500 0.500


Most stable: arrangement two


Arrangement one

A relaxed KReCl3 crystal. Source: Alexandria, functional PBE.

Properties
DOS at the Fermi energy in states/eV/cell: 6.22
M_tot in Bohr magnetons per cell: 5.0
Theoretical density in g/cm3: 3.2

Lattice parameters (Å, degrees): 5.589 5.589 5.589 90.00 90.00 90.00
Element x y z (fractional)
K 0.000 0.000 0.000
Re 0.500 0.500 0.500
Cl 0.000 0.000 0.500
Cl 0.000 0.500 0.000
Cl 0.500 0.000 0.000


Arrangement two

A relaxed KReCl3 crystal. Source: Alexandria, functional PBE.

Properties
M_tot in Bohr magnetons per cell: 0.0
Theoretical density in g/cm3: 4.6

Lattice parameters (Å, degrees): 3.659 8.480 8.629 115.33 92.71 90.45
Element x y z (fractional)
K 0.227 0.348 0.173
K 0.773 0.652 0.827
Re 0.285 0.078 0.595
Re 0.715 0.922 0.405
Cl 0.252 0.330 0.547
Cl 0.272 0.938 0.776
Cl 0.302 0.705 0.142
Cl 0.698 0.295 0.858
Cl 0.728 0.062 0.224
Cl 0.748 0.670 0.453


Arrangement three

A relaxed KReCl3 crystal. Source: Alexandria, functional PBE.

Properties
DOS at the Fermi energy in states/eV/cell: 2.12
M_tot in Bohr magnetons per cell: 2.7
Theoretical density in g/cm3: 4.6

Lattice parameters (Å, degrees): 4.938 4.938 4.938 90.00 90.00 90.00
Element x y z (fractional)
K 0.000 0.000 0.000
Re 0.500 0.500 0.500
Cl 0.000 0.500 0.500
Cl 0.500 0.000 0.500
Cl 0.500 0.500 0.000


Most stable: arrangement two


Arrangement one

A relaxed KRh2Cl crystal. Source: Alexandria, functional PBE.

Properties
DOS at the Fermi energy in states/eV/cell: 2.45
M_tot in Bohr magnetons per cell: 2.2
Theoretical density in g/cm3: 6.1

Lattice parameters (Å, degrees): 4.748 4.748 4.748 60.00 60.00 60.00
Element x y z (fractional)
K 0.000 0.000 0.000
Rh 0.250 0.250 0.250
Rh 0.750 0.750 0.750
Cl 0.500 0.500 0.500


Arrangement two

A relaxed KRh2Cl crystal. Source: Alexandria, functional PBE.

Properties
DOS at the Fermi energy in states/eV/cell: 4.29
M_tot in Bohr magnetons per cell: 1.4
Theoretical density in g/cm3: 4.9

Lattice parameters (Å, degrees): 4.665 4.665 6.400 110.36 110.36 47.23
Element x y z (fractional)
K 0.000 0.000 0.000
Rh 0.474 0.474 0.440
Rh 0.786 0.786 0.430
Cl 0.190 0.190 0.649


Arrangement three

A relaxed KRh2Cl crystal. Source: Alexandria, functional PBE.

Properties
DOS at the Fermi energy in states/eV/cell: 2.61
M_tot in Bohr magnetons per cell: 0.0
Theoretical density in g/cm3: 6.1

Lattice parameters (Å, degrees): 3.003 3.003 8.416 90.00 90.00 90.00
Element x y z (fractional)
K 0.000 0.000 0.000
Rh 0.500 0.500 0.316
Rh 0.500 0.500 0.684
Cl 0.000 0.000 0.500


Arrangement four

A relaxed KRh2Cl crystal. Source: Alexandria, functional PBE.

Properties
DOS at the Fermi energy in states/eV/cell: 5.24
M_tot in Bohr magnetons per cell: 2.6
Theoretical density in g/cm3: 5.5

Lattice parameters (Å, degrees): 6.642 6.642 3.055 103.28 103.28 131.06
Element x y z (fractional)
K 0.000 0.000 0.000
Rh 0.000 0.500 0.500
Rh 0.500 0.000 0.500
Cl 0.500 0.500 0.000


Most stable: arrangement two